(1)
A plane-wave DFT calculation with PBE-GGA was carried out for an optimized crystal structure of PmErH.

Geometry as POSCAR:
```
PmErH
1.0
3.645 0.000 0.000
-1.822 3.157 0.000
0.000 0.000 5.682
Pm H Er
1 1 1
direct
0.000 0.000 0.914
0.333 0.667 0.657
0.667 0.333 0.429
```

Results
Symmetry: P3m1

(2)
A plane-wave DFT calculation with PBE-GGA was carried out for an optimized crystal structure of PmEr2H.

Geometry as POSCAR:
```
PmEr2H
1.0
3.350 0.000 0.000
0.000 3.350 0.000
0.000 0.000 8.512
Er H Pm
2 1 1
direct
0.000 0.000 0.811
0.000 0.000 0.189
0.500 0.500 0.000
0.500 0.500 0.500
```

Results
Symmetry: P4/mmm

(3)
A plane-wave DFT calculation with PBE-GGA was carried out for an optimized crystal structure of Pm3Er5H12.

Geometry as POSCAR:
```
Pm3Er5H12
1.0
-8.106 7.893 1.215
-3.451 -9.744 4.757
9.537 3.541 5.098
H Pm Er
48 12 20
direct
0.854 0.574 0.913
0.413 0.059 0.340
0.719 0.574 0.160
0.646 0.587 0.926
0.074 0.160 0.219
0.587 0.941 0.660
0.926 0.087 0.646
0.941 0.587 0.160
0.074 0.913 0.354
0.146 0.719 0.559
0.413 0.354 0.574
0.354 0.941 0.781
0.340 0.781 0.426
0.840 0.913 0.059
0.441 0.660 0.087
0.340 0.559 0.413
0.587 0.646 0.426
0.219 0.660 0.074
0.719 0.146 0.059
0.160 0.074 0.719
0.660 0.219 0.574
0.574 0.719 0.660
0.160 0.087 0.941
0.781 0.340 0.926
0.059 0.413 0.840
0.087 0.926 0.146
0.219 0.559 0.646
0.913 0.840 0.559
0.646 0.059 0.219
0.281 0.426 0.840
0.426 0.281 0.340
0.559 0.219 0.146
0.146 0.426 0.087
0.781 0.441 0.354
0.426 0.146 0.587
0.574 0.854 0.413
0.941 0.354 0.281
0.087 0.160 0.441
0.281 0.854 0.941
0.913 0.074 0.854
0.059 0.646 0.719
0.854 0.281 0.441
0.441 0.781 0.854
0.840 0.926 0.281
0.660 0.441 0.587
0.559 0.340 0.913
0.354 0.413 0.074
0.926 0.840 0.781
0.625 0.375 0.750
0.250 0.625 0.875
0.625 0.250 0.375
0.125 0.250 0.875
0.750 0.875 0.625
0.375 0.625 0.250
0.375 0.750 0.625
0.875 0.125 0.250
0.750 0.375 0.125
0.125 0.875 0.750
0.250 0.125 0.375
0.875 0.750 0.125
0.625 0.875 0.250
0.000 0.500 0.500
0.500 0.000 0.500
0.375 0.250 0.125
0.125 0.375 0.250
0.875 0.625 0.750
0.000 0.000 0.500
0.750 0.625 0.375
0.500 0.500 0.500
0.500 0.000 0.000
0.250 0.875 0.125
0.500 0.500 0.000
0.000 0.000 0.000
0.125 0.750 0.375
0.625 0.750 0.875
0.375 0.125 0.750
0.750 0.125 0.875
0.875 0.250 0.625
0.000 0.500 0.000
0.250 0.375 0.625
```

Results
Symmetry: Ia-3d

(4)
A plane-wave DFT calculation with PBE-GGA was carried out for an optimized crystal structure of PmErH2.

Geometry as POSCAR:
```
PmErH2
1.0
-0.447 3.184 1.434
-0.142 0.349 3.500
5.476 1.902 1.803
Er Pm H
1 1 2
direct
0.000 0.000 0.000
0.500 0.500 0.500
0.256 0.256 0.233
0.744 0.744 0.767
```

Results
Symmetry: R-3m

(5)
A plane-wave DFT calculation with PBE-GGA was carried out for an optimized crystal structure of Pm2ErH.

Geometry as POSCAR:
```
Pm2ErH
1.0
-2.841 2.304 0.077
-3.411 -1.293 -0.273
-2.479 -0.439 8.562
Pm Er H
2 1 1
direct
0.278 0.278 0.167
0.722 0.722 0.833
0.500 0.500 0.500
0.000 0.000 0.000
```

Results
Symmetry: R-3m

(6)
A plane-wave DFT calculation with PBE-GGA was carried out for an optimized crystal structure of PmEr3H.

Geometry as POSCAR:
```
PmEr3H
1.0
4.975 0.000 0.000
0.000 4.975 0.000
0.000 0.000 4.975
Er H Pm
3 1 1
direct
0.500 0.000 0.000
0.000 0.000 0.500
0.000 0.500 0.000
0.000 0.000 0.000
0.500 0.500 0.500
```

Results
Symmetry: Pm-3m

(7)
A plane-wave DFT calculation with PBE-GGA was carried out for an optimized crystal structure of PmEr2H8.

Geometry as POSCAR:
```
PmEr2H8
1.0
-0.533 -3.551 -0.598
4.595 -1.060 2.198
-4.466 1.850 4.072
Er H Pm
2 8 1
direct
0.170 0.670 0.340
0.830 0.330 0.660
0.157 0.157 0.314
0.334 0.101 0.668
0.000 0.285 0.000
0.334 0.567 0.668
0.000 0.715 0.000
0.666 0.433 0.332
0.843 0.843 0.686
0.666 0.899 0.332
0.500 0.000 0.000
```

Results
Symmetry: Immm

(8)
A plane-wave DFT calculation with PBE-GGA was carried out for an optimized crystal structure of PmErH.

Geometry as POSCAR:
```
PmErH
1.0
-1.745 -1.838 -2.631
1.032 -4.840 2.697
-10.838 1.221 6.337
Pm H Er
4 4 4
direct
0.250 0.739 0.209
0.750 0.261 0.791
0.750 0.239 0.291
0.250 0.761 0.709
0.750 0.999 0.118
0.250 0.001 0.882
0.750 0.501 0.618
0.250 0.499 0.382
0.250 0.243 0.040
0.750 0.743 0.460
0.250 0.257 0.540
0.750 0.757 0.960
```

Results
Symmetry: Pnma

The following DOS(E_F) values (in states/eV/f.u.) correspond, in order, to the records above: 2.8 3.6 14.0 2.3 3.0 4.8 1.0 3.2.
The following DFT total energy values (in eV per atom) correspond, in order, to the records above: -4.444 -4.163 -4.327 -4.372 -4.508 -4.519 -4.314 -4.439.